Material: LiMgW3
Method: DFT, PBE-GGA
State: optimized geometry

Properties
VASP energy = -29.39 eV per cell
energy relative to the lowest polymorph listed for this composition = 5.52 eV per formula unit

Cell lengths 4.6215, 4.6215, 4.6215 Å; angles 90.00, 90.00, 90.00 degrees
With the nearest neighbours (Å) after each atom.
Sites, in units of the cell vectors:
Li1 0.0000 0.0000 0.0000  12 W 3.27
Mg1 0.5000 0.5000 0.5000  6 W 2.31
W1 0.0000 0.5000 0.5000  2 Mg 2.31
W2 0.5000 0.0000 0.5000  2 Mg 2.31
W3 0.5000 0.5000 0.0000  2 Mg 2.31

=====

Material: LiMg2W
Method: DFT, PBE-GGA
State: optimized geometry

Properties
VASP energy = -16.01 eV per cell
energy relative to the lowest polymorph listed for this composition = 1.13 eV per formula unit

Cell lengths 5.0796, 5.0796, 5.4533 Å; angles 98.06, 98.06, 31.11 degrees
With the nearest neighbours (Å) after each atom.
Sites, in units of the cell vectors:
Li1 0.0000 0.0000 0.0000  2 Li 2.72, 6 Mg 2.97-3.01, 4 W 3.05
Mg1 0.2509 0.2509 0.7392  4 Mg 2.72-2.94, 3 W 2.93-2.94, 3 Li 2.97-3.01
Mg2 0.7491 0.7491 0.2608  4 Mg 2.72-2.94, 3 W 2.93-2.94, 3 Li 2.97-3.01
W1 0.5000 0.5000 0.5000  2 W 2.72, 6 Mg 2.93-2.94, 4 Li 3.05

=====

Material: Li2MgW
Method: DFT, PBE-GGA
State: optimized geometry

Properties
VASP energy = -16.28 eV per cell

Cell lengths 2.6291, 5.0848, 5.1303 Å; angles 90.00, 90.00, 90.00 degrees
With the nearest neighbours (Å) after each atom.
Sites, in units of the cell vectors:
Li1 0.0000 0.0000 0.0000  6 Li 2.63-2.86, 4 W 2.88
Li2 0.5000 0.5000 0.0000  6 Li 2.63-2.86, 4 Mg 2.88
Mg1 0.0000 0.5000 0.5000  2 Mg 2.63, 4 W 2.86, 4 Li 2.88
W1 0.5000 0.0000 0.5000  2 W 2.63, 4 Mg 2.86, 4 Li 2.88

=====

Material: Li2MgW
Method: DFT, PBE-GGA
State: optimized geometry

Properties
VASP energy = -14.95 eV per cell

Cell lengths 5.0922, 5.0922, 5.0922 Å; angles 133.65, 133.65, 67.64 degrees
With the nearest neighbours (Å) after each atom.
Sites, in units of the cell vectors:
Li1 0.0000 0.0000 0.0000  4 W 2.83, 4 Li 2.91, 4 Mg 2.91
Li2 0.7500 0.2500 0.5000  4 Mg 2.83, 4 W 2.91, 4 Li 2.91
Mg1 0.2500 0.7500 0.5000  8 Li 2.83-2.91, 4 W 2.91
W1 0.5000 0.5000 0.0000  8 Li 2.83-2.91, 4 Mg 2.91

=====

Material: LiMgW2
Method: DFT, PBE-GGA
State: optimized geometry

Properties
VASP energy = -27.65 eV per cell

Cell lengths 2.6469, 4.3303, 5.8830 Å; angles 90.00, 90.00, 90.00 degrees
With the nearest neighbours (Å) after each atom.
Sites, in units of the cell vectors:
Li1 0.0000 0.0000 0.0000  2 Li 2.65, 1 W 2.83, 4 Mg 2.88
Mg1 0.5000 0.5000 0.2312  2 Mg 2.65, 4 Li 2.88, 1 W 2.90
W1 0.0000 0.0000 0.5195  6 W 2.65-2.81, 1 Li 2.83
W2 0.5000 0.5000 0.7245  6 W 2.65-2.81, 1 Mg 2.90

=====

Material: LiMgW2
Method: DFT, PBE-GGA
State: optimized geometry

Properties
VASP energy = -27.23 eV per cell

Cell lengths 5.3595, 5.3595, 2.6771 Å; angles 90.00, 90.00, 121.72 degrees
With the nearest neighbours (Å) after each atom.
Sites, in units of the cell vectors:
Li1 0.0000 0.0000 0.0000  2 Mg 2.61, 2 Li 2.68
Mg1 0.5000 0.5000 0.0000  2 Li 2.61, 2 Mg 2.68
W1 0.0000 0.5000 0.5000  4 W 2.61-2.68
W2 0.5000 0.0000 0.5000  4 W 2.61-2.68

=====

Material: Li2MgW
Method: DFT, PBE-GGA
State: optimized geometry

Properties
VASP energy = -17.15 eV per cell

Cell lengths 2.7214, 2.7214, 10.0344 Å; angles 90.00, 90.00, 112.77 degrees
With the nearest neighbours (Å) after each atom.
Sites, in units of the cell vectors:
Li1 0.0000 0.0000 0.2386  6 Li 2.72-3.01, 2 W 2.83, 2 Mg 3.03
Li2 0.0000 0.0000 0.7614  6 Li 2.72-3.01, 2 W 2.83, 2 Mg 3.03
Mg1 0.5000 0.5000 0.5000  6 Mg 2.72-3.01, 4 Li 3.03
W1 0.5000 0.5000 0.0000  6 W 2.72-3.01, 4 Li 2.83

=====

Material: Li2MgW
Method: DFT, PBE-GGA
State: optimized geometry

Properties
VASP energy = -17.20 eV per cell

Cell lengths 2.7220, 2.7220, 9.8572 Å; angles 90.00, 90.00, 107.36 degrees
With the nearest neighbours (Å) after each atom.
Sites, in units of the cell vectors:
Li1 0.0000 0.0000 0.0000  6 Li 2.72-3.05, 2 W 2.84
Li2 0.5000 0.5000 0.2622  6 Li 2.72-3.05, 2 Mg 3.02
Mg1 0.0000 0.0000 0.5208  4 Mg 2.72, 2 W 2.88, 2 Li 3.02
W1 0.5000 0.5000 0.7632  4 W 2.72, 2 Li 2.84, 2 Mg 2.88